VASP calculation (GGA-PBE) on AlSbMo2 after structural relaxation.

- raw formation energy (meV per atom) = 241
- energy above the lowest structure with this stoichiometry (kJ/mol of formula units) = 114
- crystal system = orthorhombic

abc: 5.174 5.174 5.174
angles: 141.92 125.69 68.25
Sites, in units of the cell vectors:
1 Sb 0.750 0.250 0.500
2 Mo 0.495 0.495 0.000
3 Mo 0.005 0.005 0.000
4 Al 0.250 0.750 0.500

VASP calculation (GGA-PBE) on Tb4Tm3Ga4 after structural relaxation.

- crystal system = orthorhombic

abc: 3.514 8.970 10.138
angles: 116.26 99.98 90.00
Sites, in units of the cell vectors:
1 Ga 0.500 0.222 0.000
2 Ga 0.274 0.774 0.548
3 Ga 0.726 0.226 0.452
4 Ga 0.500 0.778 0.000
5 Tm 0.000 0.500 0.000
6 Tm 0.095 0.095 0.189
7 Tm 0.905 0.905 0.811
8 Tb 0.335 0.152 0.670
9 Tb 0.335 0.518 0.670
10 Tb 0.665 0.848 0.330
11 Tb 0.665 0.482 0.330

| no. | uncorrected energy (eV per atom) | volume (Å³/cell) |
| --- | --- | --- |
| 1 | -7.1405 | 68.3 |
| 2 | -4.4175 | 281.2 |